1.
A plane-wave DFT calculation with GGA-PBEsol was carried out for a relaxed InGeRu2W crystal.

a = 4.3889 Å, b = 4.3889 Å, c = 4.7861 Å
α = 90.00°, β = 90.00°, γ = 90.00°
With the nearest neighbours (Å) after each atom.
Space group P4/mmm (No. 123)
Unique sites:
In  0.0000  0.0000  0.0000 x1  2 Ge 2.39
Ge  0.0000  0.0000  0.5000 x1  4 Ru 2.19, 2 In 2.39
Ru  0.0000  0.5000  0.5000 x2  2 Ge 2.19
W  0.5000  0.5000  0.0000 x1  4 In 3.10, 8 Ru 3.25

- Energy: -6.81 eV/atom

---

2.
A plane-wave DFT calculation with GGA-PBEsol was carried out for a relaxed In2GeS crystal.

a = 5.9825 Å, b = 5.9825 Å, c = 12.2425 Å
α = 90.00°, β = 90.00°, γ = 90.00°
With the nearest neighbours (Å) after each atom.
Space group I-42d (No. 122)
Unique sites:
In  0.2440  0.2500  0.1250 x8  2 Ge 2.59, 2 S 2.63
Ge  0.0000  0.0000  0.0000 x4  4 In 2.59
S  0.0000  0.0000  0.5000 x4  4 In 2.63

- Raw formation energy: -0.20 eV/atom
- Energy: -4.03 eV/atom

---

3.
A plane-wave DFT calculation with GGA-PBEsol was carried out for a relaxed InGe2TeS crystal.

a = 5.2030 Å, b = 5.2030 Å, c = 5.4359 Å
α = 90.00°, β = 90.00°, γ = 90.00°
With the nearest neighbours (Å) after each atom.
Space group P4/mmm (No. 123)
Unique sites:
In  0.0000  0.0000  0.0000 x1  4 Ge 2.60, 2 Te 2.72
Ge  0.0000  0.5000  0.0000 x2  2 In 2.60
Te  0.0000  0.0000  0.5000 x1  2 In 2.72
S  0.5000  0.5000  0.5000 x1  4 Te 3.68, 8 Ge 3.76

- Raw formation energy: 1.03 eV/atom
- Energy: -3.12 eV/atom

---

4.
A plane-wave DFT calculation with GGA-PBEsol was carried out for a relaxed In2Ge2Sb crystal.

a = 4.1569 Å, b = 4.1569 Å, c = 13.8980 Å
α = 90.00°, β = 90.00°, γ = 90.00°
With the nearest neighbours (Å) after each atom.
Space group I4/mmm (No. 139)
Unique sites:
In  0.0000  0.5000  0.2500 x4  4 In 2.94, 4 Ge 3.02
Ge  0.0000  0.0000  0.0922 x4  1 Ge 2.56
Sb  0.0000  0.0000  0.5000 x2  8 Ge 3.21

- Raw formation energy: 0.25 eV/atom
- Energy: -3.83 eV/atom

---

5.
A plane-wave DFT calculation with GGA-PBEsol was carried out for a relaxed InGeSbTe2 crystal.

a = 5.5292 Å, b = 5.5292 Å, c = 5.4593 Å
α = 90.00°, β = 90.00°, γ = 90.00°
With the nearest neighbours (Å) after each atom.
Space group P4/mmm (No. 123)
Unique sites:
In  0.0000  0.0000  0.0000 x1  2 Sb 2.73, 4 Te 2.76
Ge  0.5000  0.5000  0.5000 x1  8 Te 3.89, 4 Sb 3.91
Sb  0.0000  0.0000  0.5000 x1  2 In 2.73
Te  0.0000  0.5000  0.0000 x2  2 In 2.76

- Raw formation energy: 0.77 eV/atom
- Energy: -3.14 eV/atom

---

6.
A plane-wave DFT calculation with GGA-PBEsol was carried out for a relaxed InGe2SbTe5 crystal.

a = 4.1891 Å, b = 4.1891 Å, c = 16.9219 Å
α = 90.00°, β = 90.00°, γ = 120.00°
With the nearest neighbours (Å) after each atom.
Space group P3m1 (No. 156)
Unique sites:
In  0.0000  0.0000  0.0000 x1  6 Te 2.91-3.09
Ge  0.3333  0.6667  0.4564 x1  3 Te 2.81
Ge  0.3333  0.6667  0.7839 x1  3 Te 2.81
Sb  0.6667  0.3333  0.2311 x1  6 Te 3.00-3.13
Te  0.0000  0.0000  0.3364 x1  3 Sb 3.00, 3 Ge 3.16
Te  0.0000  0.0000  0.6992 x1  3 Ge 2.81
Te  0.3333  0.6667  0.1140 x1  3 In 3.09, 3 Sb 3.13
Te  0.6667  0.3333  0.5406 x1  3 Ge 2.81
Te  0.6667  0.3333  0.9045 x1  3 In 2.91, 3 Ge 3.16

- Raw formation energy: -0.13 eV/atom
- Energy: -4.02 eV/atom

---

7.
A plane-wave DFT calculation with GGA-PBEsol was carried out for a relaxed InGeSe2 crystal.

a = 3.5933 Å, b = 3.5933 Å, c = 26.9888 Å
α = 90.00°, β = 90.00°, γ = 120.00°
With the nearest neighbours (Å) after each atom.
Space group R-3m (No. 166, hexagonal axes)
Unique sites:
In  0.0000  0.0000  0.0000 x3  2 Se 2.98
Ge  0.0000  0.0000  0.5000 x3  6 Se 2.57
Se  0.0000  0.0000  0.1104 x6  3 Ge 2.57

- Raw formation energy: -0.12 eV/atom
- Energy: -4.03 eV/atom

---

8.
A plane-wave DFT calculation with GGA-PBEsol was carried out for a relaxed In2GeSe crystal.

a = 6.1244 Å, b = 6.1244 Å, c = 12.4610 Å
α = 90.00°, β = 90.00°, γ = 90.00°
With the nearest neighbours (Å) after each atom.
Space group I-42d (No. 122)
Unique sites:
In  0.2296  0.2500  0.1250 x8  2 Ge 2.60, 2 Se 2.74
Ge  0.0000  0.0000  0.0000 x4  4 In 2.60
Se  0.0000  0.0000  0.5000 x4  4 In 2.74

- Raw formation energy: -0.19 eV/atom
- Energy: -3.88 eV/atom

---

9.
A plane-wave DFT calculation with GGA-PBEsol was carried out for a relaxed Y2InGeSe crystal.

a = 5.4351 Å, b = 5.4351 Å, c = 4.8788 Å
α = 90.00°, β = 90.00°, γ = 90.00°
With the nearest neighbours (Å) after each atom.
Space group P4/mmm (No. 123)
Unique sites:
Y  0.0000  0.5000  0.0000 x2  2 Ge 2.72
In  0.0000  0.0000  0.5000 x1  2 Ge 2.44
Ge  0.0000  0.0000  0.0000 x1  2 In 2.44, 4 Y 2.72
Se  0.5000  0.5000  0.5000 x1  8 Y 3.65, 4 In 3.84

- Raw formation energy: -0.22 eV/atom
- Energy: -5.30 eV/atom

---

10.
A plane-wave DFT calculation with GGA-PBEsol was carried out for a relaxed InSi2Ge2 crystal.

a = 3.7260 Å, b = 3.7260 Å, c = 13.9688 Å
α = 90.00°, β = 90.00°, γ = 90.00°
With the nearest neighbours (Å) after each atom.
Space group I4/mmm (No. 139)
Unique sites:
In  0.0000  0.0000  0.0000 x2  8 Ge 3.10
Si  0.0000  0.5000  0.2500 x4  4 Ge 2.63, 4 Si 2.63
Ge  0.0000  0.0000  0.3829 x4  4 Si 2.63

- Raw formation energy: 0.27 eV/atom
- Energy: -4.60 eV/atom

---

11.
A plane-wave DFT calculation with GGA-PBEsol was carried out for a relaxed In3SiGe crystal.

a = 5.0977 Å, b = 5.0977 Å, c = 5.0977 Å
α = 90.00°, β = 90.00°, γ = 90.00°
With the nearest neighbours (Å) after each atom.
Space group Pm-3m (No. 221)
Unique sites:
In  0.0000  0.0000  0.5000 x3  2 Si 2.55
Si  0.0000  0.0000  0.0000 x1  6 In 2.55
Ge  0.5000  0.5000  0.5000 x1  12 In 3.60

- Raw formation energy: 0.57 eV/atom
- Energy: -3.36 eV/atom

---

12.
A plane-wave DFT calculation with GGA-PBEsol was carried out for a relaxed SrIn2Ge2 crystal.

a = 4.9463 Å, b = 4.9463 Å, c = 10.4367 Å
α = 90.00°, β = 90.00°, γ = 90.00°
With the nearest neighbours (Å) after each atom.
Space group I4/mmm (No. 139)
Unique sites:
Sr  0.0000  0.0000  0.0000 x2  8 Ge 3.60, 10 In 3.76-3.84
In  0.0000  0.0000  0.3676 x4  4 Ge 2.76, 1 In 2.76
Ge  0.0000  0.5000  0.2500 x4  4 In 2.76

- Energy: -3.79 eV/atom